Density functional theory data (GGA-PBE) for a geometry-optimized RbCoAgCl6 structure.

Properties
crystal system: trigonal
space group: P312 (149)
E: -3.225 eV per atom
total magnetic moment: 1.1 μB per formula unit

Cell and atoms, written as CIF:
```
data_RbCoAgCl6
_chemical_formula_sum 'Rb1 Co1 Ag1 Cl6'
_cell_length_a 6.5504
_cell_length_b 6.5504
_cell_length_c 7.1464
_cell_angle_alpha 90.00
_cell_angle_beta 90.00
_cell_angle_gamma 120.00
_space_group_name_H-M_alt 'P 1'
_space_group_IT_number 1
_space_group_name_Hall 'P 1'
loop_
_atom_site_label
_atom_site_fract_x
_atom_site_fract_y
_atom_site_fract_z
Rb1 0.0000 0.0000 0.0000
Co1 0.6667 0.3333 0.5000
Ag1 0.3333 0.6667 0.5000
Cl1 0.3931 0.0463 0.6832
Cl2 0.3931 0.3468 0.3168
Cl3 0.6532 0.0463 0.3168
Cl4 0.6532 0.6069 0.6832
Cl5 0.9537 0.3468 0.6832
Cl6 0.9537 0.6069 0.3168
```

=====

Density functional theory data (GGA-PBE) for a geometry-optimized TlCd2Ni2 structure.

Properties
DFT formation energy: 0.25 eV/atom
crystal system: tetragonal
space group: P4/mbm (127)
total magnetic moment: 0.0 μB per formula unit
polymorph energy (0 for the lowest one): 65.0 kJ/mol of formula units

Cell and atoms, written as CIF:
```
data_TlCd2Ni2
_chemical_formula_sum 'Tl2 Cd4 Ni4'
_cell_length_a 7.8534
_cell_length_b 7.8534
_cell_length_c 2.9513
_cell_angle_alpha 90.00
_cell_angle_beta 90.00
_cell_angle_gamma 90.00
_space_group_name_H-M_alt 'P 1'
_space_group_IT_number 1
_space_group_name_Hall 'P 1'
loop_
_atom_site_label
_atom_site_fract_x
_atom_site_fract_y
_atom_site_fract_z
Tl1 0.0000 0.0000 0.0000
Tl2 0.5000 0.5000 0.0000
Cd1 0.1345 0.3655 0.0000
Cd2 0.3655 0.8655 0.0000
Cd3 0.6345 0.1345 0.0000
Cd4 0.8655 0.6345 0.0000
Ni1 0.1602 0.6602 0.5000
Ni2 0.3398 0.1602 0.5000
Ni3 0.6602 0.8398 0.5000
Ni4 0.8398 0.3398 0.5000
```

=====

Density functional theory data (GGA-PBE) for a geometry-optimized Tm2AgP structure.

Properties
DFT formation energy: -0.82 eV/atom
crystal system: trigonal
space group: R-3m (166)
total magnetic moment: 0.0 μB per formula unit

Cell and atoms, written as CIF:
```
data_Tm2AgP
_chemical_formula_sum 'Tm6 Ag3 P3'
_cell_length_a 3.8992
_cell_length_b 3.8992
_cell_length_c 21.5632
_cell_angle_alpha 90.00
_cell_angle_beta 90.00
_cell_angle_gamma 120.00
_space_group_name_H-M_alt 'P 1'
_space_group_IT_number 1
_space_group_name_Hall 'P 1'
loop_
_atom_site_label
_atom_site_fract_x
_atom_site_fract_y
_atom_site_fract_z
Tm1 0.0000 0.0000 0.2392
Tm2 0.0000 0.0000 0.7608
Tm3 0.3333 0.6667 0.4275
Tm4 0.3333 0.6667 0.9058
Tm5 0.6667 0.3333 0.0942
Tm6 0.6667 0.3333 0.5725
Ag1 0.0000 0.0000 0.0000
Ag2 0.3333 0.6667 0.6667
Ag3 0.6667 0.3333 0.3333
P1 0.0000 0.0000 0.5000
P2 0.3333 0.6667 0.1667
P3 0.6667 0.3333 0.8333
```

=====

Density functional theory data (GGA-PBE) for a geometry-optimized RbHg2Pb5 structure.

Properties
DFT formation energy: -0.02 eV/atom
crystal system: monoclinic
space group: C2/m (12)
total magnetic moment: 0.0 μB per formula unit

Cell and atoms, written as CIF:
```
data_RbHg2Pb5
_chemical_formula_sum 'Rb2 Hg4 Pb10'
_cell_length_a 13.4622
_cell_length_b 10.7898
_cell_length_c 3.6545
_cell_angle_alpha 90.00
_cell_angle_beta 104.64
_cell_angle_gamma 90.00
_space_group_name_H-M_alt 'P 1'
_space_group_IT_number 1
_space_group_name_Hall 'P 1'
loop_
_atom_site_label
_atom_site_fract_x
_atom_site_fract_y
_atom_site_fract_z
Rb1 0.0000 0.0000 0.0000
Rb2 0.5000 0.5000 0.0000
Hg1 0.2391 0.0000 0.7225
Hg2 0.2609 0.5000 0.2775
Hg3 0.7391 0.5000 0.7225
Hg4 0.7609 0.0000 0.2775
Pb1 0.0000 0.5000 0.0000
Pb2 0.1381 0.2805 0.6456
Pb3 0.1381 0.7195 0.6456
Pb4 0.3619 0.2195 0.3544
Pb5 0.3619 0.7805 0.3544
Pb6 0.5000 0.0000 0.0000
Pb7 0.6381 0.2195 0.6456
Pb8 0.6381 0.7805 0.6456
Pb9 0.8619 0.2805 0.3544
Pb10 0.8619 0.7195 0.3544
```

=====

Density functional theory data (GGA-PBE) for a geometry-optimized Dy3ZnSi2 structure.

Properties
crystal system: orthorhombic
space group: Pnma (62)
E: -4.956 eV per atom
total magnetic moment: 0.0 μB per formula unit

Cell and atoms, written as CIF:
```
data_Dy3ZnSi2
_chemical_formula_sum 'Dy12 Zn4 Si8'
_cell_length_a 11.3595
_cell_length_b 4.1754
_cell_length_c 11.4676
_cell_angle_alpha 90.00
_cell_angle_beta 90.00
_cell_angle_gamma 90.00
_space_group_name_H-M_alt 'P 1'
_space_group_IT_number 1
_space_group_name_Hall 'P 1'
loop_
_atom_site_label
_atom_site_fract_x
_atom_site_fract_y
_atom_site_fract_z
Dy1 0.0565 0.2500 0.1218
Dy2 0.1277 0.7500 0.5651
Dy3 0.2020 0.2500 0.8035
Dy4 0.2980 0.7500 0.3035
Dy5 0.3723 0.2500 0.0651
Dy6 0.4435 0.7500 0.6218
Dy7 0.5565 0.2500 0.3782
Dy8 0.6277 0.7500 0.9349
Dy9 0.7020 0.2500 0.6965
Dy10 0.7980 0.7500 0.1965
Dy11 0.8723 0.2500 0.4349
Dy12 0.9435 0.7500 0.8782
Zn1 0.1361 0.2500 0.3642
Zn2 0.3639 0.7500 0.8642
Zn3 0.6361 0.2500 0.1358
Zn4 0.8639 0.7500 0.6358
Si1 0.0227 0.7500 0.3195
Si2 0.1867 0.7500 0.9974
Si3 0.3133 0.2500 0.4974
Si4 0.4773 0.2500 0.8195
Si5 0.5227 0.7500 0.1805
Si6 0.6867 0.7500 0.5026
Si7 0.8133 0.2500 0.0026
Si8 0.9773 0.2500 0.6805
```

=====

Density functional theory data (GGA-PBE) for a geometry-optimized PrHo2In2 structure.

Properties
DFT formation energy: -0.37 eV/atom
crystal system: monoclinic
space group: P2_1/m (11)
total magnetic moment: 0.0 μB per formula unit
polymorph energy (0 for the lowest one): 0.0 kJ/mol of formula units

Cell and atoms, written as CIF:
```
data_PrHo2In2
_chemical_formula_sum 'Pr2 Ho4 In4'
_cell_length_a 3.7834
_cell_length_b 5.4402
_cell_length_c 14.1182
_cell_angle_alpha 90.00
_cell_angle_beta 97.71
_cell_angle_gamma 90.00
_space_group_name_H-M_alt 'P 1'
_space_group_IT_number 1
_space_group_name_Hall 'P 1'
loop_
_atom_site_label
_atom_site_fract_x
_atom_site_fract_y
_atom_site_fract_z
Pr1 0.1467 0.2500 0.2954
Pr2 0.8533 0.7500 0.7046
Ho1 0.0487 0.7500 0.0973
Ho2 0.2358 0.7500 0.4725
Ho3 0.7642 0.2500 0.5275
Ho4 0.9513 0.2500 0.9027
In1 0.3574 0.2500 0.7137
In2 0.4528 0.7500 0.9069
In3 0.5472 0.2500 0.0931
In4 0.6426 0.7500 0.2863
```

=====

Density functional theory data (GGA-PBE) for a geometry-optimized TbEuSnPd structure.

Properties
DFT formation energy: -0.66 eV/atom
crystal system: cubic
space group: F-43m (216)
total magnetic moment: 6.9 μB per formula unit

Cell and atoms, written as CIF:
```
data_TbEuSnPd
_chemical_formula_sum 'Tb4 Eu4 Sn4 Pd4'
_cell_length_a 7.4451
_cell_length_b 7.4451
_cell_length_c 7.4451
_cell_angle_alpha 90.00
_cell_angle_beta 90.00
_cell_angle_gamma 90.00
_space_group_name_H-M_alt 'P 1'
_space_group_IT_number 1
_space_group_name_Hall 'P 1'
loop_
_atom_site_label
_atom_site_fract_x
_atom_site_fract_y
_atom_site_fract_z
Tb1 0.0000 0.0000 0.0000
Tb2 0.0000 0.5000 0.5000
Tb3 0.5000 0.0000 0.5000
Tb4 0.5000 0.5000 0.0000
Eu1 0.0000 0.0000 0.5000
Eu2 0.0000 0.5000 0.0000
Eu3 0.5000 0.0000 0.0000
Eu4 0.5000 0.5000 0.5000
Sn1 0.2500 0.2500 0.2500
Sn2 0.2500 0.7500 0.7500
Sn3 0.7500 0.2500 0.7500
Sn4 0.7500 0.7500 0.2500
Pd1 0.2500 0.2500 0.7500
Pd2 0.2500 0.7500 0.2500
Pd3 0.7500 0.2500 0.2500
Pd4 0.7500 0.7500 0.7500
```

=====

Density functional theory data (GGA-PBE) for a geometry-optimized Sr2AlC structure.

Properties
DFT formation energy: 0.79 eV/atom
crystal system: tetragonal
space group: I-42d (122)
total magnetic moment: 1.0 μB per formula unit
polymorph energy (0 for the lowest one): 0.0 kJ/mol of formula units

Cell and atoms, written as CIF:
```
data_Sr2AlC
_chemical_formula_sum 'Sr8 Al4 C4'
_cell_length_a 8.1037
_cell_length_b 8.1037
_cell_length_c 7.0279
_cell_angle_alpha 90.00
_cell_angle_beta 90.00
_cell_angle_gamma 90.00
_space_group_name_H-M_alt 'P 1'
_space_group_IT_number 1
_space_group_name_Hall 'P 1'
loop_
_atom_site_label
_atom_site_fract_x
_atom_site_fract_y
_atom_site_fract_z
Sr1 0.1667 0.2500 0.1250
Sr2 0.2500 0.6667 0.3750
Sr3 0.2500 0.8333 0.8750
Sr4 0.3333 0.2500 0.6250
Sr5 0.6667 0.7500 0.6250
Sr6 0.7500 0.1667 0.8750
Sr7 0.7500 0.3333 0.3750
Sr8 0.8333 0.7500 0.1250
Al1 0.0000 0.0000 0.5000
Al2 0.0000 0.5000 0.7500
Al3 0.5000 0.0000 0.2500
Al4 0.5000 0.5000 0.0000
C1 0.0000 0.0000 0.0000
C2 0.0000 0.5000 0.2500
C3 0.5000 0.0000 0.7500
C4 0.5000 0.5000 0.5000
```